First-principles (PBE) data for PuNF after structural relaxation, as listed in the Alexandria database.

Results
E_tot ... -29.676 eV/f.u.
N(E_F) ... 5.9 states/eV/cell
Formation energy from raw total energies ... -1.72 eV per atom
SG ... No. 107

Geometry as POSCAR:
```
PuNF
1.0
-1.783 0.642 2.664
-2.606 -1.377 -1.413
3.496 -4.090 1.320
Pu F N
1 1 1
Direct
0.767 0.767 0.534
0.975 0.975 0.950
0.258 0.258 0.516
```